Computed, not measured: an optimized crystal structure of TlAs2HPb at the PBE level of DFT.

Computed properties:
The value obtained for the spin magnetization is 0.000 μB per cell. The total energy is -16.8 eV/cell.

Cell lengths 4.561, 4.561, 5.025 Å; angles 90.00, 90.00, 90.00 degrees
Space group P4/mmm (No. 123)
Asymmetric unit:
Tl 0.000 0.000 0.000
As 0.000 0.500 0.500
H 0.000 0.000 0.500
Pb 0.500 0.500 0.000